Compound: VGaAgO4
Source: the Alexandria database
Functional: PBE with a Hubbard U
Structure: optimized geometry

## Properties
VASP energy: -42.900 eV/f.u.
Crystal system: orthorhombic

Unit cell a=6.760 b=10.588 c=6.278 alpha=90.00 beta=90.00 gamma=90.00
Space group Cmcm (No. 63)
Unique sites:
V (0.000, 0.139, 0.250)
Ga (0.000, 0.125, 0.750)
Ag (0.000, 0.485, 0.750)
O (0.000, 0.219, 0.503)
O (0.187, 0.009, 0.250)